one:
Below is an optimized crystal structure of VHN2F, with properties calculated at the PBE with a Hubbard U level.

**Total magnetization**: 0.36 μB per formula unit
**Density of states at the Fermi level**: 0.475 states/eV/atom
**Calculated volume**: 57 Å³/f.u.

Cell lengths 3.8100, 3.8100, 3.9335 Å; angles 90.00, 90.00, 90.00 degrees
Site moments in Bohr magnetons follow the coordinates.
Sites, in units of the cell vectors:
V  0.0000  0.0000  0.0000  0.74
F  0.0000  0.0000  0.5000  -0.03
H  0.5000  0.5000  0.5000  0.31
N  0.0000  0.5000  0.0000  -0.63
N  0.5000  0.0000  0.0000  -0.63

=====

two:
Below is an optimized crystal structure of VHN2F, with properties calculated at the PBE with a Hubbard U level.

**Total magnetization**: 1.86 μB per formula unit
**Density of states at the Fermi level**: 0.346 states/eV/atom
**Calculated volume**: 39 Å³/f.u.

Cell lengths 3.0728, 3.0728, 4.1471 Å; angles 90.00, 90.00, 90.00 degrees
Site moments in Bohr magnetons follow the coordinates.
Sites, in units of the cell vectors:
N  0.0000  0.5000  0.0000  -0.24
N  0.5000  0.0000  0.0000  -0.24
H  0.0000  0.0000  0.0000  0.00
F  0.0000  0.0000  0.5000  -0.01
V  0.5000  0.5000  0.5000  2.37

=====

Stability summary - winner: one; margin: 148 meV/atom.